Computed, not measured: a geometry-optimized K2NaBi2 structure at the GGA-PBEsol level of DFT.

For the formation energy, the calculation gives -7.13 kcal/mol of atoms. For the magnetization, the calculation gives 0.00 Bohr magnetons per cell. As for the final energy: -2.757 eV per atom.

It has space group P4/mbm (No. 127), with a = 8.396 Å, b = 8.396 Å, c = 5.406 Å, α = 90.00°, β = 90.00° and γ = 90.00°. The asymmetric unit holds K at (0.169, 0.331, 0.000), Na at (0.000, 0.000, 0.500) and Bi at (0.126, 0.626, 0.500).

=====

Computed, not measured: a geometry-optimized KNa2Bi2 structure at the GGA-PBEsol level of DFT.

The value obtained for the offset from the most stable computed form is 18.8 meV/atom. For the formation energy, the calculation gives -6.44 kcal/mol of atoms. For the magnetization, the calculation gives 0.00 Bohr magnetons per cell. As for the final energy: -2.780 eV per atom.

It has space group I4/mmm (No. 139), with a = 5.115 Å, b = 5.115 Å, c = 13.541 Å, α = 90.00°, β = 90.00° and γ = 90.00°. The asymmetric unit holds K at (0.000, 0.000, 0.000), Na at (0.000, 0.500, 0.250) and Bi at (0.000, 0.000, 0.393).

=====

Computed, not measured: a geometry-optimized KNa2Bi2 structure at the GGA-PBEsol level of DFT.

The value obtained for the offset from the most stable computed form is 0.0 meV/atom. For the formation energy, the calculation gives -6.88 kcal/mol of atoms. For the magnetization, the calculation gives 0.00 Bohr magnetons per cell. As for the final energy: -2.799 eV per atom.

It has space group P4/mbm (No. 127), with a = 9.703 Å, b = 9.703 Å, c = 3.392 Å, α = 90.00°, β = 90.00° and γ = 90.00°. The asymmetric unit holds K at (0.000, 0.000, 0.000), Na at (0.128, 0.372, 0.500) and Bi at (0.165, 0.665, 0.000).

=====

Computed, not measured: a geometry-optimized KNaSi2Bi structure at the GGA-PBEsol level of DFT.

As for the formation energy (no corrections): 656 meV/atom. For the magnetization, the calculation gives 0.00 Bohr magnetons per cell. As for the final energy: -3.006 eV per atom.

It has space group P4/mmm (No. 123), with a = 5.459 Å, b = 5.459 Å, c = 5.705 Å, α = 90.00°, β = 90.00° and γ = 90.00°. The asymmetric unit holds K at (0.000, 0.000, 0.000), Na at (0.500, 0.500, 0.000), Si at (0.000, 0.500, 0.500) and Bi at (0.500, 0.500, 0.500).

=====

- Look up the final energy of the first one.
  -2.757 eV per atom